Computed, not measured: a relaxed structure of K2ScCrO4 at the GGA+U level of DFT.

The value obtained for the total magnetization is 0.37 μB per atom. Its total energy is -6.74 eV/atom.

Cell: 5.492 3.189 6.377 Å, 90.00 106.89 90.00°
Space group P2/m (No. 10)
Asymmetric unit:
K (0.000, 0.000, 0.000) (multiplicity 1)
K (0.500, 0.500, 0.000) (multiplicity 1)
Sc (0.000, 0.500, 0.500) (multiplicity 1)
Cr (0.500, 0.000, 0.500) (multiplicity 1)
O (0.232, 0.000, 0.677) (multiplicity 2)
O (0.283, 0.500, 0.326) (multiplicity 2)